Entry from Alexandria via LeMat-Bulk: a geometry-optimized FeIrPb2 structure (PBE).

a = 4.846 Å, b = 4.846 Å, c = 3.341 Å
α = 90.33°, β = 90.33°, γ = 89.76°
Positions (direct):
Fe1 0.000 0.000 0.000
Ir1 0.500 0.500 0.000
Pb1 0.000 0.500 0.500
Pb2 0.500 0.000 0.500

Summary:
DFT formation energy ... 0.60 eV per atom
SG ... C2/m
Energy above the most stable polymorph in this dataset ... 364 meV per atom

***

Entry from Alexandria via LeMat-Bulk: a geometry-optimized TmMn2Ni5 structure (PBE).

a = 6.013 Å, b = 6.013 Å, c = 6.013 Å
α = 145.05°, β = 113.72°, γ = 77.18°
Positions (direct):
Tm1 0.000 0.000 0.000
Mn1 0.253 0.753 0.500
Mn2 0.747 0.247 0.500
Ni1 0.177 0.367 0.810
Ni2 0.443 0.633 0.810
Ni3 0.500 0.000 0.500
Ni4 0.557 0.367 0.190
Ni5 0.823 0.633 0.190

Summary:
DFT formation energy ... -0.02 eV per atom
SG ... Immm

***

Entry from Alexandria via LeMat-Bulk: a geometry-optimized BaSiPt2 structure (PBE).

a = 6.334 Å, b = 6.334 Å, c = 5.921 Å
α = 104.04°, β = 104.04°, γ = 120.04°
Positions (direct):
Ba1 0.129 0.871 0.750
Ba2 0.871 0.129 0.250
Si1 0.489 0.511 0.750
Si2 0.511 0.489 0.250
Pt1 0.156 0.431 0.920
Pt2 0.431 0.156 0.420
Pt3 0.569 0.844 0.580
Pt4 0.844 0.569 0.080

Summary:
Uncorrected formation energy ... -0.73 eV per atom
SG ... C2/c

***

Entry from Alexandria via LeMat-Bulk: a geometry-optimized TaBe2Se structure (PBE).

a = 3.280 Å, b = 3.467 Å, c = 4.973 Å
α = 90.00°, β = 94.23°, γ = 90.00°
Positions (direct):
Ta1 0.000 0.000 0.000
Be1 0.473 0.500 0.800
Be2 0.527 0.500 0.200
Se1 0.500 0.000 0.500

Summary:
Uncorrected formation energy ... 0.14 eV per atom
SG ... P2/m

***

Entry from Alexandria via LeMat-Bulk: a geometry-optimized ZrMo2Ru structure (PBE).

a = 3.764 Å, b = 3.764 Å, c = 4.809 Å
α = 90.00°, β = 90.00°, γ = 90.00°
Positions (direct):
Zr1 0.000 0.000 0.000
Mo1 0.000 0.500 0.500
Mo2 0.500 0.000 0.500
Ru1 0.500 0.500 0.000

Summary:
DFT formation energy ... 0.05 eV per atom
SG ... P4/mmm
Energy above the most stable polymorph in this dataset ... 188 meV per atom

***

Entry from Alexandria via LeMat-Bulk: a geometry-optimized Tl2TcSe structure (PBE).

a = 6.090 Å, b = 6.090 Å, c = 6.090 Å
α = 139.39°, β = 139.39°, γ = 58.78°
Positions (direct):
Tl1 0.250 0.750 0.500
Tl2 0.750 0.250 0.500
Tc1 0.000 0.000 0.000
Se1 0.500 0.500 0.000

Summary:
Uncorrected formation energy ... 0.66 eV per atom
SG ... I4/mmm
Energy above the most stable polymorph in this dataset ... 597 meV per atom

***

Entry from Alexandria via LeMat-Bulk: a geometry-optimized TaMnCrRh structure (PBE).

a = 4.337 Å, b = 4.337 Å, c = 4.337 Å
α = 60.00°, β = 60.00°, γ = 60.00°
Positions (direct):
Ta1 0.000 0.000 0.000
Mn1 0.500 0.500 0.500
Cr1 0.750 0.750 0.750
Rh1 0.250 0.250 0.250

Summary:
DFT formation energy ... -0.11 eV per atom
SG ... F-43m

***

Entry from Alexandria via LeMat-Bulk: a geometry-optimized CuAg2SnTe4 structure (PBE).

a = 7.897 Å, b = 7.897 Å, c = 7.897 Å
α = 133.54°, β = 133.54°, γ = 67.80°
Positions (direct):
Cu1 0.000 0.000 0.000
Ag1 0.250 0.750 0.500
Ag2 0.750 0.250 0.500
Sn1 0.500 0.500 0.000
Te1 0.111 0.646 0.000
Te2 0.354 0.354 0.465
Te3 0.646 0.111 0.000
Te4 0.889 0.889 0.535

Summary:
Uncorrected formation energy ... -0.12 eV per atom
SG ... I-42m

***

Entry from Alexandria via LeMat-Bulk: a geometry-optimized Pm4Ho2Cd structure (PBE).

a = 8.533 Å, b = 8.533 Å, c = 8.606 Å
α = 116.69°, β = 116.69°, γ = 23.96°
Positions (direct):
Pm1 0.083 0.083 0.204
Pm2 0.368 0.368 0.109
Pm3 0.632 0.632 0.891
Pm4 0.917 0.917 0.796
Ho1 0.217 0.217 0.639
Ho2 0.783 0.783 0.361
Cd1 0.000 0.000 0.500

Summary:
DFT formation energy ... 0.03 eV per atom
SG ... C2/m

***

Entry from Alexandria via LeMat-Bulk: a geometry-optimized CaCuO2 structure (PBE).

a = 5.761 Å, b = 5.761 Å, c = 3.148 Å
α = 90.00°, β = 90.00°, γ = 108.16°
Positions (direct):
Ca1 0.000 0.500 0.000
Ca2 0.500 0.000 0.000
Cu1 0.000 0.000 0.500
Cu2 0.500 0.500 0.500
O1 0.202 0.798 0.500
O2 0.321 0.321 0.000
O3 0.679 0.679 0.000
O4 0.798 0.202 0.500

Summary:
Uncorrected formation energy ... -1.72 eV per atom
SG ... Cmmm

***

Entry from Alexandria via LeMat-Bulk: a geometry-optimized ScBi2TeO structure (PBE).

a = 5.579 Å, b = 5.579 Å, c = 4.028 Å
α = 90.00°, β = 90.00°, γ = 90.00°
Positions (direct):
Sc1 0.000 0.000 0.000
Bi1 0.000 0.500 0.500
Bi2 0.500 0.000 0.500
Te1 0.500 0.500 0.000
O1 0.000 0.000 0.500

Summary:
Uncorrected formation energy ... -0.65 eV per atom
SG ... P4/mmm

***

Entry from Alexandria via LeMat-Bulk: a geometry-optimized CaMo3H structure (PBE).

a = 4.646 Å, b = 4.646 Å, c = 4.646 Å
α = 90.00°, β = 90.00°, γ = 90.00°
Positions (direct):
Ca1 0.000 0.000 0.000
Mo1 0.000 0.000 0.500
Mo2 0.000 0.500 0.000
Mo3 0.500 0.000 0.000
H1 0.500 0.500 0.500

Summary:
SG ... Pm-3m
Energy above the most stable polymorph in this dataset ... 2647 meV per atom

***

| no. | Fermi-level density of states (states/eV/atom) |
| --- | --- |
| 1 | 1.05 |
| 2 | 0.87 |
| 3 | 0.37 |
| 4 | 0.52 |
| 5 | 1.18 |
| 6 | 0.61 |
| 7 | 0.99 |
| 8 | 0.53 |
| 9 | 1.32 |
| 10 | 0.07 |
| 11 | 0.72 |
| 12 | 0.82 |